Cs2AgI: single point on PBEsol structure, meta-GGA SCAN.

Cell and atoms, written as POSCAR:
```
Cs2AgI
1.0
-1.9407 3.3542 4.9279
-5.7793 2.4287 0.0586
-4.3436 -2.3384 3.8687
Ag I Cs
1 1 2
Cartesian
0.0000 0.0000 0.0000
-6.0318 1.7223 4.4276
-9.0477 2.5834 6.6414
-3.0159 0.8611 2.2138
```

Calculated values
**Uncorrected formation energy**: -0.797 eV/atom

---

CoSiPt2: single point on PBEsol structure, meta-GGA SCAN.

Cell and atoms, written as POSCAR:
```
CoSiPt2
1.0
2.7770 0.0000 0.0000
0.0000 2.7770 0.0000
0.0000 0.0000 6.6824
Pt Co Si
2 1 1
Cartesian
1.3885 1.3885 1.9294
0.0000 0.0000 6.5209
1.3885 1.3885 4.7273
0.0000 0.0000 3.5285
```

Calculated values
**Uncorrected formation energy**: -0.319 eV/atom

---

FeHgBPb2: single point on PBEsol structure, meta-GGA SCAN.

Cell and atoms, written as POSCAR:
```
FeHgBPb2
1.0
-3.0831 3.4148 1.7998
-3.7911 -3.1122 -0.5895
0.7308 -1.7597 4.5904
B Pb Fe Hg
1 2 1 1
Cartesian
-3.0717 -0.7285 2.9004
-1.8955 -1.5561 -0.2947
-1.5416 1.7074 0.8999
0.0000 0.0000 0.0000
0.3654 -0.8798 2.2952
```

Calculated values
**Energy of formation**: 1191 meV per atom

---

LaCu3S: single point on PBEsol structure, meta-GGA SCAN.

Cell and atoms, written as POSCAR:
```
LaCu3S
1.0
4.4957 0.0000 0.0000
0.0000 4.4957 0.0000
0.0000 0.0000 4.4957
S Cu La
1 3 1
Cartesian
0.0000 0.0000 0.0000
0.0000 2.2479 0.0000
2.2479 0.0000 0.0000
0.0000 0.0000 2.2479
2.2479 2.2479 2.2479
```

Calculated values
**Uncorrected formation energy**: 0.124 eV/atom

---

LiZn2Ag: single point on PBEsol structure, meta-GGA SCAN.

Cell and atoms, written as POSCAR:
```
LiZn2Ag
1.0
-1.2399 -2.4945 -0.0984
2.0284 -1.1312 3.1165
-2.6830 4.3122 3.3115
Li Zn Ag
1 2 1
Cartesian
-0.3273 1.5905 3.2140
-2.9213 1.3544 2.3930
-1.0017 0.4633 0.8202
0.3943 -1.8129 1.5090
```

Calculated values
**Energy of formation**: -143 meV per atom

---

LiCd2Ag: single point on PBEsol structure, meta-GGA SCAN.

Cell and atoms, written as POSCAR:
```
LiCd2Ag
1.0
-2.5054 2.9182 -0.5391
-3.2349 -2.5733 1.1046
0.4728 1.1616 4.0907
Cd Li Ag
2 1 1
Cartesian
-1.6175 -1.2866 0.5523
0.2364 0.5808 2.0453
-2.6337 0.7533 2.3281
-1.2527 1.4591 -0.2695
```

Calculated values
**Energy of formation**: -192 meV per atom
**ΔE to the lowest computed polymorph**: 28 meV per atom